[1]
PBE CdAgRh2, optimized geometry; DFT formation energy = 542 meV/atom
1.0
-3.695 3.695 2.675
3.695 -3.695 2.675
3.695 3.695 -2.675
Cd Ag Rh
2 2 4
direct
0.000 0.000 0.000 Cd
0.750 0.250 0.500 Cd
0.250 0.750 0.500 Ag
0.500 0.500 0.000 Ag
0.127 0.625 0.002 Rh
0.375 0.377 0.502 Rh
0.623 0.125 0.998 Rh
0.875 0.873 0.498 Rh

---

[2]
PBE LiPmTe3Pb, optimized geometry; electronic total energy = -4.250 eV per atom
1.0
9.361 0.000 0.000
0.000 4.330 0.000
-1.931 0.000 9.602
Li Pm Te Pb
2 2 6 2
direct
0.089 0.250 0.089 Li
0.911 0.750 0.911 Li
0.170 0.250 0.727 Pm
0.830 0.750 0.273 Pm
0.089 0.250 0.378 Te
0.213 0.750 0.978 Te
0.400 0.750 0.658 Te
0.600 0.250 0.342 Te
0.787 0.250 0.022 Te
0.911 0.750 0.622 Te
0.339 0.750 0.331 Pb
0.661 0.250 0.669 Pb

---

[3]
PBE RbSrTl2Cl5, optimized geometry; electronic total energy = -3.505 eV per atom
1.0
-2.770 3.896 7.806
2.770 -3.896 7.806
2.770 3.896 -7.806
Rb Sr Tl Cl
1 1 2 5
direct
0.000 0.000 0.000 Rb
0.500 0.500 0.000 Sr
0.285 0.785 0.500 Tl
0.715 0.215 0.500 Tl
0.111 0.367 0.744 Cl
0.377 0.633 0.744 Cl
0.500 0.000 0.500 Cl
0.623 0.367 0.256 Cl
0.889 0.633 0.256 Cl